No. 1
{
  "formula": "Ac3Mg2SbO9",
  "functional": "GGA-PBE",
  "state": "relaxed",
  "lattice": [[5.7321, 0.0000, 0.0000], [-2.8661, 4.9642, 0.0000], [0.0000, 0.0000, 7.0474]],
  "species": ["Ac", "Ac", "Ac", "Mg", "Mg", "Sb", "O", "O", "O", "O", "O", "O", "O", "O", "O"],
  "fractional_positions": [[0.0000, 0.0000, 0.0000], [0.3333, 0.6667, 0.7107], [0.6667, 0.3333, 0.2893], [0.3333, 0.6667, 0.1696], [0.6667, 0.3333, 0.8304], [0.0000, 0.0000, 0.5000], [0.0000, 0.5000, 0.0000], [0.1612, 0.3224, 0.3328], [0.1612, 0.8388, 0.3328], [0.3224, 0.1612, 0.6672], [0.5000, 0.0000, 0.0000], [0.5000, 0.5000, 0.0000], [0.6776, 0.8388, 0.3328], [0.8388, 0.1612, 0.6672], [0.8388, 0.6776, 0.6672]],
  "crystal_system": "trigonal",
  "e_form_raw_kj_per_mol_atoms": -269.2,
  "spacegroup": "P-3m1 (164)",
  "total_energy_ev_per_atom": -7.07
}

---

No. 2
{
  "formula": "Al2Cd2Ge",
  "functional": "GGA-PBE",
  "state": "relaxed",
  "lattice": [[3.9725, 0.0000, 0.0000], [0.0000, 3.9725, 0.0000], [0.0000, 0.0000, 13.6763]],
  "species": ["Al", "Al", "Al", "Al", "Cd", "Cd", "Cd", "Cd", "Ge", "Ge"],
  "fractional_positions": [[0.0000, 0.5000, 0.2500], [0.0000, 0.5000, 0.7500], [0.5000, 0.0000, 0.2500], [0.5000, 0.0000, 0.7500], [0.0000, 0.0000, 0.1016], [0.0000, 0.0000, 0.8984], [0.5000, 0.5000, 0.3984], [0.5000, 0.5000, 0.6016], [0.0000, 0.0000, 0.5000], [0.5000, 0.5000, 0.0000]],
  "crystal_system": "tetragonal",
  "relative_energy_mev_per_atom": 10,
  "spacegroup": "I4/mmm (139)",
  "total_energy_ev_per_atom": -2.49
}

---

No. 3
{
  "formula": "BeV2Au",
  "functional": "GGA-PBE",
  "state": "relaxed",
  "lattice": [[3.4337, 0.0000, 0.0000], [0.0000, 3.4337, 0.0000], [0.0000, 0.0000, 19.0613]],
  "species": ["Be", "Be", "Be", "Be", "V", "V", "V", "V", "V", "V", "V", "V", "Au", "Au", "Au", "Au"],
  "fractional_positions": [[0.0000, 0.0000, 0.0000], [0.0000, 0.5000, 0.2500], [0.5000, 0.0000, 0.7500], [0.5000, 0.5000, 0.5000], [0.2357, 0.7500, 0.1250], [0.2500, 0.2357, 0.8750], [0.2500, 0.2643, 0.3750], [0.2643, 0.7500, 0.6250], [0.7357, 0.2500, 0.6250], [0.7500, 0.7357, 0.3750], [0.7500, 0.7643, 0.8750], [0.7643, 0.2500, 0.1250], [0.0000, 0.0000, 0.5000], [0.0000, 0.5000, 0.7500], [0.5000, 0.0000, 0.2500], [0.5000, 0.5000, 0.0000]],
  "crystal_system": "tetragonal",
  "spacegroup": "I-42d (122)",
  "total_energy_ev_per_atom": -5.92
}

---

No. 4
{
  "formula": "Hf2ZrAs2",
  "functional": "GGA-PBE",
  "state": "relaxed",
  "lattice": [[1.8463, -7.7657, 0.0000], [1.8463, 7.7657, 0.0000], [0.0000, 0.0000, 7.0377]],
  "species": ["Hf", "Hf", "Hf", "Hf", "Zr", "Zr", "As", "As", "As", "As"],
  "fractional_positions": [[0.0302, 0.9698, 0.5000], [0.1796, 0.8204, 0.1790], [0.8204, 0.1796, 0.6790], [0.9698, 0.0302, 0.0000], [0.3721, 0.6279, 0.3307], [0.6279, 0.3721, 0.8307], [0.2015, 0.7985, 0.5672], [0.4496, 0.5504, 0.7156], [0.5504, 0.4496, 0.2156], [0.7985, 0.2015, 0.0672]],
  "crystal_system": "orthorhombic",
  "relative_energy_mev_per_atom": 41,
  "spacegroup": "Cmc2_1 (36)",
  "total_energy_ev_per_atom": -8.42
}

---

No. 5
{
  "formula": "Sr2Tl",
  "functional": "GGA-PBE",
  "state": "relaxed",
  "lattice": [[5.7818, 0.0000, 0.0000], [-2.8909, 5.0072, 0.0000], [0.0000, 0.0000, 4.2244]],
  "species": ["Sr", "Sr", "Tl"],
  "fractional_positions": [[0.3333, 0.6667, 0.2337], [0.6667, 0.3333, 0.7663], [0.0000, 0.0000, 0.5000]],
  "crystal_system": "trigonal",
  "spacegroup": "P-3m1 (164)",
  "total_energy_ev_per_atom": -2.10
}

---

No. 6
{
  "formula": "Ac2Al3Rh",
  "functional": "GGA-PBE",
  "state": "relaxed",
  "lattice": [[9.9934, 0.0000, 0.0000], [0.0000, 5.7818, 0.0000], [-3.3342, 0.0000, 4.7240]],
  "species": ["Ac", "Ac", "Ac", "Ac", "Al", "Al", "Al", "Al", "Al", "Al", "Rh", "Rh"],
  "fractional_positions": [[0.1261, 0.0000, 0.3778], [0.3739, 0.5000, 0.6222], [0.6261, 0.5000, 0.3778], [0.8739, 0.0000, 0.6222], [0.0000, 0.5000, 0.0000], [0.2500, 0.2500, 0.0000], [0.2500, 0.7500, 0.0000], [0.5000, 0.0000, 0.0000], [0.7500, 0.2500, 0.0000], [0.7500, 0.7500, 0.0000], [0.0000, 0.5000, 0.5000], [0.5000, 0.0000, 0.5000]],
  "crystal_system": "monoclinic",
  "spacegroup": "C2/m (12)",
  "total_energy_ev_per_atom": -4.95
}

---

No. 7
{
  "formula": "GeHI",
  "functional": "GGA-PBE",
  "state": "relaxed",
  "lattice": [[3.9633, 0.0000, 0.0000], [0.0155, 4.9968, 0.0000], [0.0175, 1.1356, 8.6187]],
  "species": ["Ge", "Ge", "H", "H", "I", "I"],
  "fractional_positions": [[0.0000, 0.0000, 0.0000], [0.4995, 0.9973, 0.2110], [0.0013, 0.7116, 0.9466], [0.4979, 0.2846, 0.2660], [0.5000, 0.2112, 0.7861], [0.9989, 0.7848, 0.4247]],
  "crystal_system": "triclinic",
  "relative_energy_mev_per_atom": 0,
  "spacegroup": "P1 (1)",
  "total_energy_ev_per_atom": -3.15
}

---

No. 8
{
  "formula": "Pr5Ga2Ru",
  "functional": "GGA-PBE",
  "state": "relaxed",
  "lattice": [[7.9514, 0.0000, 0.0000], [0.0000, 12.2083, 0.0000], [0.0000, 0.0000, 4.7121]],
  "species": ["Pr", "Pr", "Pr", "Pr", "Pr", "Pr", "Pr", "Pr", "Pr", "Pr", "Ga", "Ga", "Ga", "Ga", "Ru", "Ru"],
  "fractional_positions": [[0.0000, 0.0000, 0.0000], [0.1467, 0.2940, 0.0000], [0.1854, 0.5753, 0.5000], [0.3146, 0.0753, 0.5000], [0.3533, 0.7940, 0.0000], [0.5000, 0.5000, 0.0000], [0.6467, 0.2060, 0.0000], [0.6854, 0.9247, 0.5000], [0.8146, 0.4247, 0.5000], [0.8533, 0.7060, 0.0000], [0.0690, 0.8327, 0.5000], [0.4310, 0.3327, 0.5000], [0.5690, 0.6673, 0.5000], [0.9310, 0.1673, 0.5000], [0.0000, 0.5000, 0.0000], [0.5000, 0.0000, 0.0000]],
  "crystal_system": "orthorhombic",
  "spacegroup": "Pbam (55)",
  "total_energy_ev_per_atom": -5.28
}